RuWNO2 PBE with a Hubbard U relaxed; E = -33.1 eV for the cell shown; SG = P4/mmm; spin magnetization = 2.9 μB per formula unit; mass density = 8.99 Mg/m³
1.0
4.065 0.000 0.000
0.000 4.065 0.000
0.000 0.000 3.700
O Ru W N
2 1 1 1
direct
0.000 0.500 0.000
0.500 0.000 0.000
0.000 0.000 0.000
0.500 0.500 0.500
0.000 0.000 0.500